# 1
Compound: La8NdY2
Source: the Alexandria database
Functional: PBE-GGA
Structure: optimized geometry

abc: 6.3894 6.4192 9.8016
angles: 96.28 90.04 99.62
With the nearest neighbours (Å) after each atom.
Element x y z (fractional)
La  0.0929  0.0467  0.1813  7 La 3.67-3.71, 3 Y 3.67-3.71, 2 Nd 3.70-3.71
La  0.1830  0.5900  0.3629  10 La 3.69-3.73, 1 Nd 3.70, 1 Y 3.70
La  0.2721  0.1365  0.5467  11 La 3.69-3.73, 1 Y 3.71
La  0.3630  0.6850  0.7301  3 Y 3.66-3.71, 8 La 3.67-3.73, 1 Nd 3.68
La  0.6370  0.3150  0.2699  3 Y 3.66-3.71, 8 La 3.67-3.73, 1 Nd 3.68
La  0.7279  0.8635  0.4533  11 La 3.69-3.73, 1 Y 3.71
La  0.8170  0.4100  0.6371  10 La 3.69-3.73, 1 Nd 3.70, 1 Y 3.70
La  0.9071  0.9533  0.8187  7 La 3.67-3.71, 3 Y 3.67-3.71, 2 Nd 3.70-3.71
Nd  0.0000  0.5000  0.0000  4 Y 3.68, 8 La 3.68-3.71
Y  0.4543  0.2296  0.9113  8 La 3.66-3.71, 2 Y 3.66-3.71, 2 Nd 3.68
Y  0.5457  0.7704  0.0887  8 La 3.66-3.71, 2 Y 3.66-3.71, 2 Nd 3.68

Summary:
**Energy relative to the elements**: 0.02 eV per atom
**Relative energy among the computed polymorphs**: 0 meV/atom
**Calculated volume**: 393.9 Å³/f.u.
**Fermi-level density of states**: 20.31 states/eV/cell
**ρ**: 6.04 Mg/m³

# 2
Compound: La8NdY6
Source: the Alexandria database
Functional: PBE-GGA
Structure: optimized geometry

abc: 8.8863 8.8863 8.8863
angles: 62.68 62.68 62.68
With the nearest neighbours (Å) after each atom.
Element x y z (fractional)
La  0.0774  0.0774  0.0774  4 La 3.30-3.47, 3 Y 3.42
La  0.2108  0.6157  0.2547  5 La 3.47-3.56, 2 Y 3.52-3.53, 1 Nd 3.62
La  0.2547  0.2108  0.6157  5 La 3.47-3.56, 2 Y 3.52-3.53, 1 Nd 3.62
La  0.3843  0.7453  0.7892  5 La 3.47-3.56, 2 Y 3.52-3.53, 1 Nd 3.62
La  0.6157  0.2547  0.2108  5 La 3.47-3.56, 2 Y 3.52-3.53, 1 Nd 3.62
La  0.7453  0.7892  0.3843  5 La 3.47-3.56, 2 Y 3.52-3.53, 1 Nd 3.62
La  0.7892  0.3843  0.7453  5 La 3.47-3.56, 2 Y 3.52-3.53, 1 Nd 3.62
La  0.9226  0.9226  0.9226  4 La 3.30-3.47, 3 Y 3.42
Nd  0.5000  0.5000  0.5000  6 Y 3.57, 6 La 3.62
Y  0.0372  0.5938  0.7546  3 La 3.42-3.53, 1 Nd 3.57, 3 Y 3.59-3.73
Y  0.2454  0.9628  0.4062  3 La 3.42-3.53, 1 Nd 3.57, 3 Y 3.59-3.73
Y  0.4062  0.2454  0.9628  3 La 3.42-3.53, 1 Nd 3.57, 3 Y 3.59-3.73
Y  0.5938  0.7546  0.0372  3 La 3.42-3.53, 1 Nd 3.57, 3 Y 3.59-3.73
Y  0.7546  0.0372  0.5938  3 La 3.42-3.53, 1 Nd 3.57, 3 Y 3.59-3.73
Y  0.9628  0.4062  0.2454  3 La 3.42-3.53, 1 Nd 3.57, 3 Y 3.59-3.73

Summary:
**Energy relative to the elements**: 0.11 eV per atom
**Calculated volume**: 525.7 Å³/f.u.
**Fermi-level density of states**: 24.86 states/eV/cell
**ρ**: 5.65 Mg/m³

# 3
Compound: La7Nd3Y2
Source: the Alexandria database
Functional: PBE-GGA
Structure: optimized geometry

abc: 6.0370 3.6457 19.6086
angles: 90.00 93.49 90.00
With the nearest neighbours (Å) after each atom.
Element x y z (fractional)
La  0.0000  0.0000  0.0000  4 Nd 3.53, 4 La 3.56-3.65
La  0.1798  0.5000  0.1831  6 La 3.58-3.65, 2 Y 3.73-3.79, 2 Nd 3.99
La  0.2560  0.5000  0.5331  4 La 3.28-3.65, 1 Y 3.32
La  0.3229  0.0000  0.8541  2 Y 3.48, 2 Nd 3.50, 7 La 3.56-3.65
La  0.6771  0.0000  0.1459  2 Y 3.48, 2 Nd 3.50, 7 La 3.56-3.65
La  0.7440  0.5000  0.4669  4 La 3.28-3.65, 1 Y 3.32
La  0.8202  0.5000  0.8169  6 La 3.58-3.65, 2 Y 3.73-3.79, 2 Nd 3.99
Nd  0.2193  0.0000  0.3646  2 Nd 3.65, 4 Y 3.75-3.78, 8 La 3.77-4.07
Nd  0.5000  0.5000  0.0000  8 La 3.50-3.53, 2 Nd 3.65
Nd  0.7807  0.0000  0.6354  2 Nd 3.65, 4 Y 3.75-3.78, 8 La 3.77-4.07
Y  0.2915  0.5000  0.7026  3 La 3.32-3.48, 2 Y 3.65
Y  0.7085  0.5000  0.2974  3 La 3.32-3.48, 2 Y 3.65

Summary:
**Energy relative to the elements**: 0.08 eV per atom
**Relative energy among the computed polymorphs**: 21 meV/atom
**Calculated volume**: 430.8 Å³/f.u.
**Fermi-level density of states**: 19.24 states/eV/cell
**ρ**: 6.10 Mg/m³

# 4
Compound: La6NdY4
Source: the Alexandria database
Functional: PBE-GGA
Structure: optimized geometry

abc: 5.7906 5.7906 26.4920
angles: 90.00 90.00 118.23
With the nearest neighbours (Å) after each atom.
Element x y z (fractional)
La  0.0000  0.0000  0.0000  8 Y 3.32-3.63
La  0.0000  0.0000  0.5000  8 Y 3.32-3.63
La  0.0395  0.9605  0.7500  2 Y 3.31, 3 Nd 3.37-3.38, 2 La 3.70
La  0.3107  0.6893  0.0972  7 Y 3.45-3.80
La  0.3107  0.6893  0.4028  7 Y 3.45-3.80
La  0.3650  0.6350  0.6821  5 La 3.60-3.93, 4 Y 3.62-3.71, 3 Nd 3.78-3.84
La  0.3650  0.6350  0.8179  5 La 3.60-3.93, 4 Y 3.62-3.71, 3 Nd 3.78-3.84
La  0.6350  0.3650  0.1821  5 La 3.60-3.93, 4 Y 3.62-3.71, 3 Nd 3.78-3.84
La  0.6350  0.3650  0.3179  5 La 3.60-3.93, 4 Y 3.62-3.71, 3 Nd 3.78-3.84
La  0.6893  0.3107  0.5972  7 Y 3.45-3.80
La  0.6893  0.3107  0.9028  7 Y 3.45-3.80
La  0.9605  0.0395  0.2500  2 Y 3.31, 3 Nd 3.37-3.38, 2 La 3.70
Nd  0.3005  0.6995  0.2500  3 La 3.37-3.38
Nd  0.6995  0.3005  0.7500  3 La 3.37-3.38
Y  0.0293  0.9707  0.6250  6 La 3.31-3.66
Y  0.0293  0.9707  0.8750  6 La 3.31-3.66
Y  0.3443  0.6557  0.5456  8 La 3.56-3.80, 2 Y 3.77-3.93
Y  0.3443  0.6557  0.9544  8 La 3.56-3.80, 2 Y 3.77-3.93
Y  0.6557  0.3443  0.0456  8 La 3.56-3.80, 2 Y 3.77-3.93
Y  0.6557  0.3443  0.4544  8 La 3.56-3.80, 2 Y 3.77-3.93
Y  0.9707  0.0293  0.1250  6 La 3.31-3.66
Y  0.9707  0.0293  0.3750  6 La 3.31-3.66

Summary:
**Energy relative to the elements**: 0.10 eV per atom
**Calculated volume**: 391.3 Å³/f.u.
**Fermi-level density of states**: 39.17 states/eV/cell
**ρ**: 5.66 Mg/m³

# 5
Compound: La2NdY12
Source: the Alexandria database
Functional: PBE-GGA
Structure: optimized geometry

abc: 6.7597 6.7597 25.0934
angles: 90.00 90.00 116.39
With the nearest neighbours (Å) after each atom.
Element x y z (fractional)
La  0.2500  0.7500  0.2312  2 La 3.56, 10 Y 3.69-3.99
La  0.2500  0.7500  0.7691  2 La 3.56, 8 Y 3.69-3.81
La  0.7500  0.2500  0.2309  2 La 3.56, 8 Y 3.69-3.81
La  0.7500  0.2500  0.7688  2 La 3.56, 10 Y 3.69-3.99
Nd  0.2500  0.7500  0.5000  8 Y 3.48-3.64, 2 Nd 3.56
Nd  0.7500  0.2500  0.5000  8 Y 3.48-3.64, 2 Nd 3.56
Y  0.0000  0.0000  0.4220  2 Nd 3.48, 8 Y 3.52-3.59
Y  0.0000  0.0000  0.5780  2 Nd 3.48, 8 Y 3.52-3.59
Y  0.0000  0.5000  0.3733  8 Y 3.39-3.59, 2 Nd 3.64
Y  0.0000  0.5000  0.6267  8 Y 3.39-3.59, 2 Nd 3.64
Y  0.0008  0.5008  0.0839  8 Y 3.42-3.62
Y  0.0009  0.9991  0.9385  7 Y 3.09-3.43
Y  0.2500  0.2500  0.1718  7 Y 3.25-3.62
Y  0.2500  0.2500  0.3012  7 Y 3.25-3.56
Y  0.2500  0.2500  0.6988  7 Y 3.25-3.56
Y  0.2500  0.2500  0.8282  7 Y 3.25-3.62
Y  0.4991  0.5009  0.9385  7 Y 3.09-3.43
Y  0.4992  0.9992  0.0839  8 Y 3.42-3.62
Y  0.5000  0.0000  0.3733  8 Y 3.39-3.59, 2 Nd 3.64
Y  0.5000  0.0000  0.6267  8 Y 3.39-3.59, 2 Nd 3.64
Y  0.5000  0.5000  0.4220  2 Nd 3.48, 8 Y 3.52-3.59
Y  0.5000  0.5000  0.5780  2 Nd 3.48, 8 Y 3.52-3.59
Y  0.5008  0.0008  0.9161  8 Y 3.42-3.62
Y  0.5009  0.4991  0.0615  7 Y 3.09-3.43
Y  0.7500  0.7500  0.1718  7 Y 3.25-3.62
Y  0.7500  0.7500  0.3012  7 Y 3.25-3.56
Y  0.7500  0.7500  0.6988  7 Y 3.25-3.56
Y  0.7500  0.7500  0.8282  7 Y 3.25-3.62
Y  0.9991  0.0009  0.0615  7 Y 3.09-3.43
Y  0.9992  0.4992  0.9161  8 Y 3.42-3.62

Summary:
**Energy relative to the elements**: 0.16 eV per atom
**Calculated volume**: 513.6 Å³/f.u.
**Fermi-level density of states**: 55.93 states/eV/cell
**ρ**: 4.81 Mg/m³

# 6
Compound: LaNd6Y5
Source: the Alexandria database
Functional: PBE-GGA
Structure: optimized geometry

abc: 9.6268 9.6268 9.6268
angles: 148.86 115.58 73.28
With the nearest neighbours (Å) after each atom.
Element x y z (fractional)
La  0.0000  0.0000  0.0000  8 Nd 3.65-3.66, 4 Y 3.66
Nd  0.0847  0.8333  0.2514  7 Y 3.61-3.65, 1 La 3.65, 4 Nd 3.65
Nd  0.2524  0.5000  0.7524  6 Y 3.62-3.67, 4 Nd 3.65, 2 La 3.66
Nd  0.4181  0.1667  0.2514  7 Y 3.61-3.65, 1 La 3.65, 4 Nd 3.65
Nd  0.5819  0.8333  0.7486  7 Y 3.61-3.65, 1 La 3.65, 4 Nd 3.65
Nd  0.7476  0.5000  0.2476  6 Y 3.62-3.67, 4 Nd 3.65, 2 La 3.66
Nd  0.9153  0.1667  0.7486  7 Y 3.61-3.65, 1 La 3.65, 4 Nd 3.65
Y  0.1679  0.6679  0.5000  8 Nd 3.61-3.67, 2 Y 3.63, 2 La 3.66
Y  0.3328  0.3328  0.0000  8 Nd 3.62-3.64, 4 Y 3.63-3.65
Y  0.5000  0.0000  0.5000  8 Nd 3.62, 4 Y 3.65
Y  0.6672  0.6672  0.0000  8 Nd 3.62-3.64, 4 Y 3.63-3.65
Y  0.8321  0.3321  0.5000  8 Nd 3.61-3.67, 2 Y 3.63, 2 La 3.66

Summary:
**Energy relative to the elements**: 0.02 eV per atom
**Calculated volume**: 409.6 Å³/f.u.
**Fermi-level density of states**: 17.60 states/eV/cell
**ρ**: 5.87 Mg/m³

# 7
Compound: LaNd4Y4
Source: the Alexandria database
Functional: PBE-GGA
Structure: optimized geometry

abc: 8.1424 8.1424 8.1424
angles: 95.72 95.72 143.19
With the nearest neighbours (Å) after each atom.
Element x y z (fractional)
La  0.0000  0.0000  0.0000  4 Nd 3.64, 8 Y 3.65
Nd  0.0000  0.3328  0.3328  6 Y 3.63-3.64, 1 La 3.64, 5 Nd 3.64-3.65
Nd  0.0000  0.6672  0.6672  6 Y 3.63-3.64, 1 La 3.64, 5 Nd 3.64-3.65
Nd  0.3328  0.0000  0.3328  6 Y 3.63-3.64, 1 La 3.64, 5 Nd 3.64-3.65
Nd  0.6672  0.0000  0.6672  6 Y 3.63-3.64, 1 La 3.64, 5 Nd 3.64-3.65
Y  0.3325  0.3325  0.6650  4 Y 3.62-3.66, 6 Nd 3.63-3.64, 2 La 3.65
Y  0.3325  0.6675  0.0000  4 Y 3.62-3.66, 6 Nd 3.63-3.64, 2 La 3.65
Y  0.6675  0.3325  0.0000  4 Y 3.62-3.66, 6 Nd 3.63-3.64, 2 La 3.65
Y  0.6675  0.6675  0.3350  4 Y 3.62-3.66, 6 Nd 3.63-3.64, 2 La 3.65

Summary:
**Energy relative to the elements**: 0.02 eV per atom
**Calculated volume**: 306.9 Å³/f.u.
**Fermi-level density of states**: 13.25 states/eV/cell
**ρ**: 5.80 Mg/m³

# 8
Compound: La2NdY4
Source: the Alexandria database
Functional: PBE-GGA
Structure: optimized geometry

abc: 9.0671 9.0671 11.7801
angles: 130.43 130.43 44.24
With the nearest neighbours (Å) after each atom.
Element x y z (fractional)
La  0.0002  0.9998  0.0000  4 Y 3.32-3.71
La  0.0000  0.0000  0.5000  4 Y 3.31-3.70
La  0.3418  0.1041  0.4757  1 Y 3.05
La  0.8959  0.6582  0.5243  1 Y 3.05
Nd  0.3421  0.1066  0.9726  2 Y 3.05-3.39
Nd  0.8934  0.6579  0.0274  2 Y 3.05-3.39
Y  0.3286  0.6695  0.2494  1 Nd 3.05, 1 La 3.05, 1 Y 3.06
Y  0.3305  0.6714  0.7506  1 Nd 3.05, 1 La 3.05, 1 Y 3.06
Y  0.3319  0.3662  0.8506  1 Nd 3.39, 2 La 3.43-3.76, 3 Y 3.60-3.63
Y  0.3353  0.3593  0.3464  1 Nd 3.42, 2 La 3.46-3.80, 3 Y 3.61-3.66
Y  0.6338  0.6681  0.1494  1 Nd 3.39, 2 La 3.43-3.76, 3 Y 3.60-3.63
Y  0.6407  0.6647  0.6536  1 Nd 3.42, 2 La 3.46-3.80, 3 Y 3.61-3.66
Y  0.7757  0.2210  0.2484  1 Y 3.06, 2 La 3.31-3.32
Y  0.7790  0.2243  0.7516  1 Y 3.06, 2 La 3.31-3.32

Summary:
**Energy relative to the elements**: 0.17 eV per atom
**Calculated volume**: 241.2 Å³/f.u.
**Fermi-level density of states**: 17.78 states/eV/cell
**ρ**: 5.35 Mg/m³

# 9
Compound: La3NdY3
Source: the Alexandria database
Functional: PBE-GGA
Structure: optimized geometry

abc: 8.3838 8.3838 8.3838
angles: 69.47 69.47 69.47
With the nearest neighbours (Å) after each atom.
Element x y z (fractional)
La  0.1275  0.2670  0.8347  5 Y 3.46-3.66, 1 Nd 3.58, 4 La 3.58-3.65
La  0.1653  0.8725  0.7330  5 Y 3.46-3.66, 1 Nd 3.58, 4 La 3.58-3.65
La  0.2670  0.8347  0.1275  5 Y 3.46-3.66, 1 Nd 3.58, 4 La 3.58-3.65
La  0.7330  0.1653  0.8725  5 Y 3.46-3.66, 1 Nd 3.58, 4 La 3.58-3.65
La  0.8347  0.1275  0.2670  5 Y 3.46-3.66, 1 Nd 3.58, 4 La 3.58-3.65
La  0.8725  0.7330  0.1653  5 Y 3.46-3.66, 1 Nd 3.58, 4 La 3.58-3.65
Nd  0.4086  0.4086  0.4086  1 Nd 3.46, 6 Y 3.50-3.62, 3 La 3.58
Nd  0.5914  0.5914  0.5914  1 Nd 3.46, 6 Y 3.50-3.62, 3 La 3.58
Y  0.0230  0.3091  0.4449  5 La 3.46-3.66, 3 Y 3.49-3.56, 2 Nd 3.50-3.62
Y  0.3091  0.4449  0.0230  5 La 3.46-3.66, 3 Y 3.49-3.56, 2 Nd 3.50-3.62
Y  0.4449  0.0230  0.3091  5 La 3.46-3.66, 3 Y 3.49-3.56, 2 Nd 3.50-3.62
Y  0.5551  0.9770  0.6909  5 La 3.46-3.66, 3 Y 3.49-3.56, 2 Nd 3.50-3.62
Y  0.6909  0.5551  0.9770  5 La 3.46-3.66, 3 Y 3.49-3.56, 2 Nd 3.50-3.62
Y  0.9770  0.6909  0.5551  5 La 3.46-3.66, 3 Y 3.49-3.56, 2 Nd 3.50-3.62

Summary:
**Energy relative to the elements**: 0.13 eV per atom
**Relative energy among the computed polymorphs**: 0 meV/atom
**Calculated volume**: 249.5 Å³/f.u.
**Fermi-level density of states**: 19.70 states/eV/cell
**ρ**: 5.51 Mg/m³

What did the first record say?
Compound: La8NdY2
Source: the Alexandria database
Functional: PBE-GGA
Structure: optimized geometry

abc: 6.3894 6.4192 9.8016
angles: 96.28 90.04 99.62
With the nearest neighbours (Å) after each atom.
Element x y z (fractional)
La  0.0929  0.0467  0.1813  7 La 3.67-3.71, 3 Y 3.67-3.71, 2 Nd 3.70-3.71
La  0.1830  0.5900  0.3629  10 La 3.69-3.73, 1 Nd 3.70, 1 Y 3.70
La  0.2721  0.1365  0.5467  11 La 3.69-3.73, 1 Y 3.71
La  0.3630  0.6850  0.7301  3 Y 3.66-3.71, 8 La 3.67-3.73, 1 Nd 3.68
La  0.6370  0.3150  0.2699  3 Y 3.66-3.71, 8 La 3.67-3.73, 1 Nd 3.68
La  0.7279  0.8635  0.4533  11 La 3.69-3.73, 1 Y 3.71
La  0.8170  0.4100  0.6371  10 La 3.69-3.73, 1 Nd 3.70, 1 Y 3.70
La  0.9071  0.9533  0.8187  7 La 3.67-3.71, 3 Y 3.67-3.71, 2 Nd 3.70-3.71
Nd  0.0000  0.5000  0.0000  4 Y 3.68, 8 La 3.68-3.71
Y  0.4543  0.2296  0.9113  8 La 3.66-3.71, 2 Y 3.66-3.71, 2 Nd 3.68
Y  0.5457  0.7704  0.0887  8 La 3.66-3.71, 2 Y 3.66-3.71, 2 Nd 3.68

Summary:
**Energy relative to the elements**: 0.02 eV per atom
**Relative energy among the computed polymorphs**: 0 meV/atom
**Calculated volume**: 393.9 Å³/f.u.
**Fermi-level density of states**: 20.31 states/eV/cell
**ρ**: 6.04 Mg/m³

Please write out number 4 again, unchanged.
Compound: La6NdY4
Source: the Alexandria database
Functional: PBE-GGA
Structure: optimized geometry

abc: 5.7906 5.7906 26.4920
angles: 90.00 90.00 118.23
With the nearest neighbours (Å) after each atom.
Element x y z (fractional)
La  0.0000  0.0000  0.0000  8 Y 3.32-3.63
La  0.0000  0.0000  0.5000  8 Y 3.32-3.63
La  0.0395  0.9605  0.7500  2 Y 3.31, 3 Nd 3.37-3.38, 2 La 3.70
La  0.3107  0.6893  0.0972  7 Y 3.45-3.80
La  0.3107  0.6893  0.4028  7 Y 3.45-3.80
La  0.3650  0.6350  0.6821  5 La 3.60-3.93, 4 Y 3.62-3.71, 3 Nd 3.78-3.84
La  0.3650  0.6350  0.8179  5 La 3.60-3.93, 4 Y 3.62-3.71, 3 Nd 3.78-3.84
La  0.6350  0.3650  0.1821  5 La 3.60-3.93, 4 Y 3.62-3.71, 3 Nd 3.78-3.84
La  0.6350  0.3650  0.3179  5 La 3.60-3.93, 4 Y 3.62-3.71, 3 Nd 3.78-3.84
La  0.6893  0.3107  0.5972  7 Y 3.45-3.80
La  0.6893  0.3107  0.9028  7 Y 3.45-3.80
La  0.9605  0.0395  0.2500  2 Y 3.31, 3 Nd 3.37-3.38, 2 La 3.70
Nd  0.3005  0.6995  0.2500  3 La 3.37-3.38
Nd  0.6995  0.3005  0.7500  3 La 3.37-3.38
Y  0.0293  0.9707  0.6250  6 La 3.31-3.66
Y  0.0293  0.9707  0.8750  6 La 3.31-3.66
Y  0.3443  0.6557  0.5456  8 La 3.56-3.80, 2 Y 3.77-3.93
Y  0.3443  0.6557  0.9544  8 La 3.56-3.80, 2 Y 3.77-3.93
Y  0.6557  0.3443  0.0456  8 La 3.56-3.80, 2 Y 3.77-3.93
Y  0.6557  0.3443  0.4544  8 La 3.56-3.80, 2 Y 3.77-3.93
Y  0.9707  0.0293  0.1250  6 La 3.31-3.66
Y  0.9707  0.0293  0.3750  6 La 3.31-3.66

Summary:
**Energy relative to the elements**: 0.10 eV per atom
**Calculated volume**: 391.3 Å³/f.u.
**Fermi-level density of states**: 39.17 states/eV/cell
**ρ**: 5.66 Mg/m³

Q: Number 9 is which compound?
A: La3NdY3

Q: The highest Fermi-level density of states belongs to which entry?
A: La2NdY12